# 1
Ca2TcIrRu | Alexandria via LeMat-Bulk | PBE | optimized geometry; energy of formation = 1.26 eV/atom; space-group type = P4/mmm, No. 123; total DFT energy (no corrections) = -5.243 eV per atom; calculated density = 6.21 g cm⁻³; relative energy among the computed polymorphs = 19.24 kJ/mol of atoms
1.0
5.222 0.000 0.000
0.000 5.222 0.000
0.000 0.000 4.623
Ca Tc Ir Ru
2 1 1 1
direct
0.000 0.500 0.000
0.500 0.000 0.000
0.000 0.000 0.000
0.000 0.000 0.500
0.500 0.500 0.500

=====

# 2
Ca2TiIrRu | Alexandria via LeMat-Bulk | PBE | optimized geometry; energy of formation = 0.68 eV/atom; space-group type = P4/mmm, No. 123; total DFT energy (no corrections) = -5.324 eV per atom; calculated density = 5.73 g cm⁻³
1.0
5.203 0.000 0.000
0.000 5.203 0.000
0.000 0.000 4.513
Ca Ti Ir Ru
2 1 1 1
direct
0.000 0.500 0.000
0.500 0.000 0.000
0.000 0.000 0.500
0.500 0.500 0.500
0.000 0.000 0.000

=====

# 3
CaTi2IrRu | Alexandria via LeMat-Bulk | PBE | optimized geometry; energy of formation = 0.36 eV/atom; space-group type = P4/mmm, No. 123; total DFT energy (no corrections) = -6.829 eV per atom; calculated density = 6.41 g cm⁻³
1.0
4.753 0.000 0.000
0.000 4.753 0.000
0.000 0.000 4.922
Ca Ti Ir Ru
1 2 1 1
direct
0.000 0.000 0.000
0.000 0.500 0.500
0.500 0.000 0.500
0.500 0.500 0.500
0.500 0.500 0.000

=====

# 4
CaIrS2 | Alexandria via LeMat-Bulk | PBE | optimized geometry; raw formation energy = -505.1 meV/atom; space-group type = R-3m, No. 166; total DFT energy (no corrections) = -5.284 eV per atom; calculated density = 5.37 g cm⁻³; relative energy among the computed polymorphs = 21.67 kJ/mol of atoms
1.0
1.861 1.074 7.644
-1.861 1.074 7.644
0.000 -2.149 7.644
Ca Ir S
1 1 2
direct
0.000 0.000 0.000
0.500 0.500 0.500
0.119 0.119 0.119
0.881 0.881 0.881

=====

# 5
CaIrS2 | Alexandria via LeMat-Bulk | PBE | optimized geometry; raw formation energy = -729.7 meV/atom; space-group type = I-42d, No. 122; total DFT energy (no corrections) = -5.509 eV per atom; calculated density = 5.21 g cm⁻³; relative energy among the computed polymorphs = 0.00 kJ/mol of atoms
1.0
-2.764 2.764 6.181
2.764 -2.764 6.181
2.764 2.764 -6.181
Ca Ir S
2 2 4
direct
0.000 0.000 0.000
0.750 0.250 0.500
0.250 0.750 0.500
0.500 0.500 0.000
0.193 0.625 0.068
0.375 0.443 0.568
0.557 0.125 0.932
0.875 0.807 0.432

=====

# 6
CaIrS3 | Alexandria via LeMat-Bulk | PBE | optimized geometry; raw formation energy = 1187.5 meV/atom; space-group type = Pm-3m, No. 221; total DFT energy (no corrections) = -3.462 eV per atom; calculated density = 4.18 g cm⁻³; relative energy among the computed polymorphs = 150.98 kJ/mol of atoms
1.0
5.071 0.000 0.000
0.000 5.071 0.000
0.000 0.000 5.071
Ca Ir S
1 1 3
direct
0.000 0.000 0.000
0.500 0.500 0.500
0.000 0.000 0.500
0.000 0.500 0.000
0.500 0.000 0.000